# 1
An optimized crystal structure of ErThNiAu. Source: the Alexandria database, functional PBE.

a = 5.043 Å, b = 5.043 Å, c = 5.043 Å
α = 60.00°, β = 60.00°, γ = 60.00°
Fractional coordinates of all 4 atoms:
Er 0.750 0.750 0.750
Au 0.000 0.000 0.000
Th 0.250 0.250 0.250
Ni 0.500 0.500 0.500

VASP energy = -0.211 Ha/atom
energy relative to the elements = -0.473 eV per atom
crystal system = cubic

---

# 2
An optimized crystal structure of ErTlNiAu. Source: the Alexandria database, functional PBE.

a = 4.818 Å, b = 4.818 Å, c = 4.818 Å
α = 60.00°, β = 60.00°, γ = 60.00°
Fractional coordinates of all 4 atoms:
Ni 0.250 0.250 0.250
Er 0.000 0.000 0.000
Au 0.750 0.750 0.750
Tl 0.500 0.500 0.500

VASP energy = -0.158 Ha/atom
energy relative to the elements = -0.311 eV per atom
crystal system = cubic

---

# 3
An optimized crystal structure of ErNpAu. Source: the Alexandria database, functional PBE.

a = 6.089 Å, b = 6.089 Å, c = 8.239 Å
α = 136.61°, β = 136.61°, γ = 49.09°
Each line ends with the local moment (μB).
Fractional coordinates of all 6 atoms:
Er 0.242 0.242 0.693  0.08
Au 0.490 0.490 0.665  0.00
Np 0.081 0.081 0.961  2.23
Np 0.919 0.919 0.039  2.23
Au 0.510 0.510 0.335  0.00
Er 0.758 0.758 0.307  0.08

VASP energy = -0.258 Ha/atom
energy relative to the elements = -0.088 eV per atom
crystal system = monoclinic

---

# 4
An optimized crystal structure of ErNpAu4. Source: the Alexandria database, functional PBE.

a = 3.735 Å, b = 3.735 Å, c = 9.232 Å
α = 90.00°, β = 90.00°, γ = 90.00°
Each line ends with the local moment (μB).
Fractional coordinates of all 6 atoms:
Np 0.000 0.000 0.000  3.84
Au 0.000 0.000 0.340  0.00
Au 0.500 0.500 0.173  0.01
Au 0.000 0.000 0.660  0.00
Au 0.500 0.500 0.827  0.01
Er 0.500 0.500 0.500  0.00

VASP energy = -0.206 Ha/atom
energy relative to the elements = -0.511 eV per atom
crystal system = tetragonal

---

# 5
An optimized crystal structure of Er3AuO6. Source: the Alexandria database, functional PBE.

a = 5.532 Å, b = 7.138 Å, c = 7.138 Å
α = 101.86°, β = 90.00°, γ = 90.00°
Fractional coordinates of all 20 atoms:
Au 0.967 0.133 0.867
Er 0.908 0.601 0.399
Au 0.467 0.867 0.133
O 0.686 0.640 0.676
O 0.645 0.216 0.784
O 0.145 0.784 0.216
Er 0.960 0.664 0.905
Er 0.960 0.095 0.336
O 0.686 0.324 0.360
O 0.186 0.676 0.640
O 0.186 0.360 0.324
O 0.192 0.415 0.891
O 0.692 0.585 0.109
O 0.791 0.963 0.037
Er 0.460 0.336 0.095
O 0.291 0.037 0.963
Er 0.408 0.399 0.601
O 0.692 0.891 0.415
Er 0.460 0.905 0.664
O 0.192 0.109 0.585

VASP energy = -0.268 Ha/atom
crystal system = orthorhombic
formation energy without anion corrections = -2.6325 eV per atom

---

# 6
An optimized crystal structure of Er2AuO. Source: the Alexandria database, functional PBE.

a = 3.394 Å, b = 3.394 Å, c = 8.572 Å
α = 78.58°, β = 78.58°, γ = 60.00°
Fractional coordinates of all 4 atoms:
Au 0.000 0.000 0.000
Er 0.888 0.888 0.337
O 0.500 0.500 0.500
Er 0.112 0.112 0.663

VASP energy = -0.204 Ha/atom
crystal system = trigonal
formation energy without anion corrections = -1.2009 eV per atom

---

# 7
An optimized crystal structure of ErAuO. Source: the Alexandria database, functional PBE.

a = 3.850 Å, b = 3.850 Å, c = 7.159 Å
α = 90.00°, β = 90.00°, γ = 90.00°
Fractional coordinates of all 6 atoms:
Au 0.750 0.250 0.077
O 0.250 0.250 0.500
Er 0.250 0.750 0.347
Au 0.250 0.750 0.923
Er 0.750 0.250 0.653
O 0.750 0.750 0.500

VASP energy = -0.241 Ha/atom
crystal system = tetragonal
formation energy without anion corrections = -2.2825 eV per atom
relative energy among the computed polymorphs = 0.0000 eV per atom

---

# 8
An optimized crystal structure of ErAuO. Source: the Alexandria database, functional PBE.

a = 3.599 Å, b = 3.599 Å, c = 5.489 Å
α = 90.00°, β = 90.00°, γ = 120.00°
Fractional coordinates of all 3 atoms:
Er 0.667 0.333 0.427
O 0.333 0.667 0.538
Au 0.000 0.000 0.035

VASP energy = -0.230 Ha/atom
crystal system = trigonal
formation energy without anion corrections = -1.9841 eV per atom
relative energy among the computed polymorphs = 0.2985 eV per atom

---

# 9
An optimized crystal structure of Er3AuO. Source: the Alexandria database, functional PBE.

a = 4.665 Å, b = 4.665 Å, c = 4.665 Å
α = 90.00°, β = 90.00°, γ = 90.00°
Fractional coordinates of all 5 atoms:
Er 0.000 0.000 0.500
Er 0.000 0.500 0.000
Au 0.500 0.500 0.500
Er 0.500 0.000 0.000
O 0.000 0.000 0.000

VASP energy = -0.215 Ha/atom
crystal system = cubic
formation energy without anion corrections = -1.4726 eV per atom

---

# 10
An optimized crystal structure of ErPaAu2O8. Source: the Alexandria database, functional PBE.

a = 6.153 Å, b = 6.153 Å, c = 6.153 Å
α = 109.42°, β = 109.42°, γ = 109.58°
Fractional coordinates of all 12 atoms:
O 0.977 0.659 0.683
O 0.275 0.450 0.175
O 0.550 0.725 0.825
Au 0.750 0.250 0.500
O 0.900 0.725 0.175
O 0.275 0.100 0.825
Er 0.250 0.750 0.500
O 0.706 0.023 0.683
O 0.341 0.023 0.317
O 0.977 0.294 0.317
Pa 0.000 0.000 0.000
Au 0.500 0.500 0.000

VASP energy = -0.239 Ha/atom
crystal system = tetragonal
formation energy without anion corrections = -1.4882 eV per atom

---

# 11
An optimized crystal structure of ErPb2AuO5. Source: the Alexandria database, functional PBE.

a = 3.481 Å, b = 7.641 Å, c = 11.477 Å
α = 90.00°, β = 90.00°, γ = 103.17°
Fractional coordinates of all 18 atoms:
O 0.554 0.108 0.295
Au 0.470 0.939 0.447
O 0.446 0.892 0.795
O 0.903 0.807 0.543
O 0.765 0.529 0.878
O 0.097 0.193 0.043
O 0.376 0.751 0.080
Pb 0.120 0.240 0.707
Pb 0.136 0.272 0.234
O 0.728 0.456 0.145
Au 0.530 0.061 0.947
O 0.624 0.249 0.580
O 0.272 0.544 0.645
Pb 0.864 0.728 0.734
Pb 0.880 0.760 0.207
Er 0.247 0.493 0.993
O 0.235 0.471 0.378
Er 0.753 0.507 0.493

VASP energy = -0.213 Ha/atom
crystal system = orthorhombic
formation energy without anion corrections = -1.3587 eV per atom

---

# 12
An optimized crystal structure of Sr2ErAu2O6. Source: the Alexandria database, functional PBE.

a = 6.254 Å, b = 6.254 Å, c = 6.821 Å
α = 62.71°, β = 62.71°, γ = 60.00°
Each line ends with the local moment (μB).
Fractional coordinates of all 11 atoms:
O 0.236 0.236 0.726  0.17
Au 0.586 0.586 0.243  0.30
Sr 0.204 0.204 0.388  0.00
Er 0.000 0.000 0.000  0.00
O 0.802 0.236 0.726  0.17
O 0.764 0.764 0.274  0.17
Sr 0.796 0.796 0.612  0.00
O 0.764 0.198 0.274  0.17
Au 0.414 0.414 0.757  0.30
O 0.236 0.802 0.726  0.17
O 0.198 0.764 0.274  0.17

VASP energy = -0.204 Ha/atom
crystal system = trigonal
formation energy without anion corrections = -1.5433 eV per atom

---

# 13
An optimized crystal structure of Sr2ErAuO4. Source: the Alexandria database, functional PBE.

a = 6.661 Å, b = 6.661 Å, c = 6.661 Å
α = 70.03°, β = 132.13°, γ = 132.13°
Fractional coordinates of all 8 atoms:
Sr 0.500 0.750 0.250
Er 0.500 0.250 0.750
Sr 0.000 0.000 0.000
O 0.491 0.362 0.405
O 0.957 0.595 0.086
Au 0.000 0.500 0.500
O 0.509 0.914 0.871
O 0.043 0.129 0.638

VASP energy = -0.224 Ha/atom
crystal system = tetragonal
formation energy without anion corrections = -2.2265 eV per atom

---

# 14
An optimized crystal structure of Sr2ErAuO5. Source: the Alexandria database, functional PBE.

a = 3.502 Å, b = 7.040 Å, c = 11.574 Å
α = 90.00°, β = 90.00°, γ = 104.40°
Fractional coordinates of all 18 atoms:
O 0.325 0.649 0.396
Er 0.786 0.571 0.523
Er 0.214 0.429 0.023
O 0.935 0.870 0.581
O 0.266 0.531 0.649
O 0.378 0.756 0.984
O 0.514 0.028 0.274
Sr 0.910 0.821 0.179
Sr 0.146 0.293 0.293
O 0.675 0.351 0.896
O 0.622 0.244 0.484
Au 0.526 0.053 0.945
O 0.065 0.130 0.081
O 0.734 0.469 0.149
Sr 0.090 0.179 0.679
Au 0.474 0.947 0.445
O 0.486 0.972 0.774
Sr 0.854 0.707 0.793

VASP energy = -0.227 Ha/atom
crystal system = orthorhombic
formation energy without anion corrections = -2.1797 eV per atom

---

# 15
An optimized crystal structure of YErAu2O8. Source: the Alexandria database, functional PBE.

a = 5.300 Å, b = 5.300 Å, c = 6.465 Å
α = 114.20°, β = 114.20°, γ = 90.00°
Fractional coordinates of all 12 atoms:
O 0.141 0.124 0.752
O 0.372 0.390 0.249
O 0.610 0.628 0.752
O 0.141 0.628 0.751
O 0.610 0.124 0.751
O 0.876 0.390 0.248
O 0.372 0.859 0.248
Au 0.250 0.750 0.500
Au 0.500 0.500 0.000
Y 0.750 0.250 0.500
Er 0.000 0.000 0.000
O 0.876 0.859 0.249

VASP energy = -0.216 Ha/atom
crystal system = tetragonal
formation energy without anion corrections = -1.1113 eV per atom

---

# 16
An optimized crystal structure of ErZnAuO4. Source: the Alexandria database, functional PBE.

a = 6.252 Å, b = 6.761 Å, c = 6.652 Å
α = 119.47°, β = 90.00°, γ = 117.54°
Fractional coordinates of all 14 atoms:
O 0.319 0.088 0.794
Zn 0.889 0.778 0.139
O 0.681 0.912 0.206
O 0.769 0.088 0.794
Zn 0.111 0.222 0.861
O 0.265 0.531 0.314
O 0.231 0.912 0.206
Au 0.500 0.500 0.500
Er 0.500 0.000 0.500
Au 0.000 0.500 0.500
Er 0.500 0.000 0.000
O 0.265 0.531 0.717
O 0.735 0.469 0.283
O 0.735 0.469 0.686

VASP energy = -0.210 Ha/atom
crystal system = orthorhombic
formation energy without anion corrections = -1.5807 eV per atom

---

# 17
An optimized crystal structure of Er8OsAu2. Source: the Alexandria database, functional PBE.

a = 5.084 Å, b = 6.802 Å, c = 8.973 Å
α = 107.30°, β = 106.46°, γ = 90.00°
Fractional coordinates of all 11 atoms:
Er 0.409 0.567 0.817
Er 0.662 0.965 0.323
Er 0.591 0.433 0.183
Er 0.199 0.305 0.398
Au 0.816 0.290 0.632
Er 0.029 0.797 0.057
Er 0.338 0.035 0.677
Er 0.801 0.695 0.602
Os 0.500 0.000 0.000
Au 0.184 0.710 0.368
Er 0.971 0.203 0.943

VASP energy = -0.197 Ha/atom
energy relative to the elements = -0.430 eV per atom
crystal system = monoclinic
relative energy among the computed polymorphs = 0.0000 eV per atom

---

# 18
An optimized crystal structure of Er2OsAu. Source: the Alexandria database, functional PBE.

a = 3.392 Å, b = 3.392 Å, c = 7.312 Å
α = 90.00°, β = 90.00°, γ = 90.00°
Fractional coordinates of all 4 atoms:
Au 0.500 0.500 0.500
Os 0.500 0.500 0.000
Er 0.000 0.000 0.773
Er 0.000 0.000 0.227

VASP energy = -0.239 Ha/atom
energy relative to the elements = -0.596 eV per atom
crystal system = tetragonal

---

# 19
An optimized crystal structure of Er8OsAu2. Source: the Alexandria database, functional PBE.

a = 5.874 Å, b = 8.015 Å, c = 8.015 Å
α = 118.94°, β = 102.46°, γ = 102.46°
Fractional coordinates of all 11 atoms:
Er 0.347 0.661 0.900
Er 0.983 0.189 0.801
Er 0.347 0.900 0.661
Os 0.156 0.001 0.001
Er 0.597 0.341 0.105
Er 0.597 0.105 0.341
Er 0.788 0.647 0.647
Er 0.983 0.801 0.189
Au 0.507 0.315 0.718
Au 0.507 0.718 0.315
Er 0.186 0.357 0.357

VASP energy = -0.193 Ha/atom
energy relative to the elements = -0.307 eV per atom
crystal system = monoclinic
relative energy among the computed polymorphs = 0.1233 eV per atom

---

# 20
An optimized crystal structure of Er6Os2Au. Source: the Alexandria database, functional PBE.

a = 8.344 Å, b = 8.344 Å, c = 8.344 Å
α = 104.04°, β = 112.47°, γ = 112.04°
Fractional coordinates of all 18 atoms:
Er 0.457 0.275 0.182
Er 0.543 0.725 0.818
Er 0.094 0.275 0.818
Er 0.198 0.247 0.445
Os 0.500 0.378 0.878
Os 0.674 0.000 0.674
Au 0.000 0.500 0.500
Er 0.802 0.247 0.049
Er 0.315 0.647 0.332
Er 0.685 0.353 0.668
Er 0.315 0.982 0.668
Os 0.326 0.000 0.326
Er 0.906 0.725 0.182
Er 0.198 0.753 0.951
Os 0.500 0.622 0.122
Au 0.000 0.000 0.000
Er 0.685 0.018 0.332
Er 0.802 0.753 0.555

VASP energy = -0.231 Ha/atom
energy relative to the elements = -0.391 eV per atom
crystal system = orthorhombic